VASP calculation (GGA-PBE) on a geometry-optimized TiMn2VH structure.

The relative energy among the computed polymorphs is 145.3 kJ/mol of atoms. The calculation puts the calculated density at 3919 kg/m³. The value obtained for the uncorrected energy is -6.262 eV/atom. Its space group is No. 123.

POSCAR file:
```
TiMn2VH
1.0
4.3375 0.0000 0.0000
0.0000 4.3375 0.0000
0.0000 0.0000 4.7226
Ti Mn V H
1 2 1 1
direct
0.0000 0.0000 0.0000
0.0000 0.5000 0.5000
0.5000 0.0000 0.5000
0.0000 0.0000 0.5000
0.5000 0.5000 0.0000
```

VASP calculation (GGA-PBE) on a geometry-optimized Ti2MnVH structure.

The calculation puts the calculated density at 5620 kg/m³. The value obtained for the uncorrected energy is -7.585 eV/atom. Its space group is No. 123.

POSCAR file:
```
Ti2MnVH
1.0
4.2841 0.0000 0.0000
0.0000 4.2841 0.0000
0.0000 0.0000 3.2618
Ti Mn V H
2 1 1 1
direct
0.0000 0.5000 0.0000
0.5000 0.0000 0.0000
0.0000 0.0000 0.5000
0.5000 0.5000 0.5000
0.0000 0.0000 0.0000
```

VASP calculation (GGA-PBE) on a geometry-optimized TiMn2VH structure.

The relative energy among the computed polymorphs is 0.0 kJ/mol of atoms. The calculation puts the calculated density at 6365 kg/m³. The value obtained for the uncorrected energy is -7.768 eV/atom. Its space group is No. 123.

POSCAR file:
```
TiMn2VH
1.0
4.0114 0.0000 0.0000
0.0000 4.0114 0.0000
0.0000 0.0000 3.3994
Ti Mn V H
1 2 1 1
direct
0.0000 0.0000 0.0000
0.0000 0.5000 0.5000
0.5000 0.0000 0.5000
0.5000 0.5000 0.0000
0.0000 0.0000 0.5000
```